Computed, not measured: a relaxed structure of Sr2ZnRe at the PBE-GGA level of DFT.

CIF file:
```
data_Sr2ZnRe
_cell_length_a 10.440
_cell_length_b 10.440
_cell_length_c 10.440
_cell_angle_alpha 19.20
_cell_angle_beta 19.20
_cell_angle_gamma 19.20
_symmetry_space_group_name_H-M 'P 1'
_symmetry_Int_Tables_number 1
loop_
_symmetry_equiv_pos_as_xyz
'x,y,z'
loop_
_atom_site_label
_atom_site_fract_x
_atom_site_fract_y
_atom_site_fract_z
Sr1 0.494 0.494 0.494
Sr2 0.006 0.006 0.006
Re1 0.750 0.750 0.750
Zn1 0.250 0.250 0.250
```

Values from the calculation:
The value obtained for the density of states at the Fermi level is 3.8 states/eV/cell. The crystal system is trigonal. The space group is R-3m, No. 166. Its energy of formation is 0.949 eV per atom.

---

Computed, not measured: a relaxed structure of Ca2TaH6 at the PBE-GGA level of DFT.

CIF file:
```
data_Ca2TaH6
_cell_length_a 5.335
_cell_length_b 5.335
_cell_length_c 5.335
_cell_angle_alpha 60.00
_cell_angle_beta 60.00
_cell_angle_gamma 60.00
_symmetry_space_group_name_H-M 'P 1'
_symmetry_Int_Tables_number 1
loop_
_symmetry_equiv_pos_as_xyz
'x,y,z'
loop_
_atom_site_label
_atom_site_fract_x
_atom_site_fract_y
_atom_site_fract_z
H1 0.748 0.252 0.748
H2 0.748 0.748 0.252
H3 0.252 0.748 0.748
H4 0.748 0.252 0.252
H5 0.252 0.748 0.252
H6 0.252 0.252 0.748
Ca1 0.750 0.750 0.750
Ca2 0.250 0.250 0.250
Ta1 0.000 0.000 0.000
```

Values from the calculation:
Its final energy is -4.240 eV/atom. The value obtained for the density of states at the Fermi level is 3.7 states/eV/cell. The crystal system is cubic. The space group is Fm-3m, No. 225.

---

Computed, not measured: a relaxed structure of Ga2FeRh3 at the PBE-GGA level of DFT.

CIF file:
```
data_Ga2FeRh3
_cell_length_a 3.019
_cell_length_b 3.019
_cell_length_c 9.099
_cell_angle_alpha 90.00
_cell_angle_beta 90.00
_cell_angle_gamma 90.00
_symmetry_space_group_name_H-M 'P 1'
_symmetry_Int_Tables_number 1
loop_
_symmetry_equiv_pos_as_xyz
'x,y,z'
loop_
_atom_site_label
_atom_site_fract_x
_atom_site_fract_y
_atom_site_fract_z
Fe1 0.500 0.500 0.500
Ga1 0.500 0.500 0.170
Ga2 0.500 0.500 0.830
Rh1 0.000 0.000 0.668
Rh2 0.000 0.000 0.000
Rh3 0.000 0.000 0.332
```

Values from the calculation:
The value obtained for the density of states at the Fermi level is 3.8 states/eV/cell. The crystal system is tetragonal. The space group is P4/mmm, No. 123. Its energy of formation is -0.495 eV per atom.

---

Which of these has the lowest density of states at the Fermi level?
Ca2TaH6

---

Number 1 is which compound?
Sr2ZnRe

---

Number 2 is which compound?
Ca2TaH6

---

The lowest density of states at the Fermi level belongs to which entry?
Ca2TaH6